[1]
First-principles (PBE-GGA) data for an optimized crystal structure of La2Ge3Ir2, as listed in the Alexandria database.

Lattice parameters (Å, degrees): 4.3585 7.2080 9.5293 90.00 103.22 90.00
Fractional positions:
La 0.1578 0.2500 0.3156
La 0.8422 0.7500 0.6844
La 0.9417 0.2500 0.8835
La 0.0583 0.7500 0.1165
Ge 0.2249 0.7500 0.4498
Ge 0.7751 0.2500 0.5502
Ge 0.5638 0.4335 0.1276
Ge 0.4362 0.5665 0.8724
Ge 0.4362 0.9335 0.8724
Ge 0.5638 0.0665 0.1276
Ir 0.6940 0.9478 0.3880
Ir 0.3060 0.0522 0.6120
Ir 0.3060 0.4478 0.6120
Ir 0.6940 0.5522 0.3880

The space-group type is Cmcm, No. 63. Its final energy is -6.63 eV per atom. The value obtained for the energy of formation is -0.71 eV per atom. For the density of states at the Fermi level, the calculation gives 0.5810 states/eV/atom. The calculated volume is 291.4 Å³ per cell.

[2]
First-principles (PBE-GGA) data for an optimized crystal structure of Sm5Ho2Er5, as listed in the Alexandria database.

Lattice parameters (Å, degrees): 5.0271 7.9491 10.6906 72.76 76.40 71.57
Fractional positions:
Sm 0.5000 0.5000 0.5000
Sm 0.3341 0.3326 0.9993
Sm 0.4159 0.9176 0.2505
Sm 0.5841 0.0824 0.7495
Sm 0.6659 0.6674 0.0007
Ho 0.9168 0.4177 0.7488
Ho 0.0832 0.5823 0.2512
Er 0.8323 0.8345 0.5008
Er 0.2510 0.7499 0.7482
Er 0.7490 0.2501 0.2518
Er 0.1677 0.1655 0.4992
Er 0.0000 0.0000 0.0000

The space-group type is C2/m, No. 12. Its final energy is -4.61 eV per atom. The value obtained for the energy of formation is 0.02 eV per atom. For the density of states at the Fermi level, the calculation gives 1.4318 states/eV/atom. The calculated volume is 382.3 Å³ per cell.